1:
MnReNi at its PBEsol-relaxed geometry. Source: the Alexandria database, functional SCAN.

The structure in POSCAR format:
```
MnReNi
1.0
2.603 0.000 0.000
-1.301 2.254 0.000
0.000 0.000 6.200
Mn Re Ni
1 1 1
Direct
0.000 0.000 0.000
0.667 0.333 0.332
0.333 0.667 0.682
```

Calculated density (g cm⁻³): 13.69
Space-group type: No. 156


2:
MnReNi at its PBEsol-relaxed geometry. Source: the Alexandria database, functional SCAN.

The structure in POSCAR format:
```
MnReNi
1.0
0.000 2.770 2.770
2.770 0.000 2.770
2.770 2.770 0.000
Mn Re Ni
1 1 1
Direct
0.000 0.000 0.000
0.250 0.250 0.250
0.500 0.500 0.500
```

Calculated density (g cm⁻³): 11.71
Space-group type: No. 216


1 is favored, and the nearest alternative lies 536 meV per atom above it.


1:
Mn5O8 at its PBEsol-relaxed geometry. Source: the Alexandria database, functional SCAN.

The structure in POSCAR format:
```
Mn5O8
1.0
5.054 -2.829 0.000
5.054 2.829 0.000
-1.430 0.000 4.617
Mn O
5 8
Direct
0.000 0.000 0.000
0.259 0.741 0.500
0.277 0.277 0.860
0.723 0.723 0.140
0.741 0.259 0.500
0.104 0.104 0.400
0.110 0.655 0.108
0.345 0.890 0.892
0.396 0.396 0.593
0.604 0.604 0.407
0.655 0.110 0.108
0.890 0.345 0.892
0.896 0.896 0.600
```

Calculated density (g cm⁻³): 5.07
Space-group type: No. 12


2:
Mn5O8 at its PBEsol-relaxed geometry. Source: the Alexandria database, functional SCAN.

The structure in POSCAR format:
```
Mn5O8
1.0
2.850 1.646 4.715
-2.850 1.646 4.715
0.000 -3.291 4.715
Mn O
5 8
Direct
0.000 0.000 0.000
0.000 0.500 0.500
0.500 0.000 0.500
0.500 0.500 0.000
0.500 0.500 0.500
0.251 0.251 0.723
0.251 0.723 0.251
0.266 0.266 0.266
0.277 0.749 0.749
0.723 0.251 0.251
0.734 0.734 0.734
0.749 0.277 0.749
0.749 0.749 0.277
```

Calculated density (g cm⁻³): 5.04
Space-group type: No. 166


1 is favored, and the nearest alternative lies 87 meV per atom above it.


1:
Mn2PO5 at its PBEsol-relaxed geometry. Source: the Alexandria database, functional SCAN.

The structure in POSCAR format:
```
Mn2PO5
1.0
8.293 0.000 0.000
0.000 8.388 0.000
0.000 0.000 5.909
Mn P O
8 4 20
Direct
0.000 0.000 0.239
0.000 0.000 0.761
0.147 0.369 0.500
0.353 0.869 0.000
0.500 0.500 0.261
0.500 0.500 0.739
0.647 0.131 0.000
0.853 0.631 0.500
0.231 0.746 0.500
0.269 0.246 0.000
0.731 0.754 0.000
0.769 0.254 0.500
0.100 0.614 0.500
0.128 0.921 0.000
0.133 0.909 0.500
0.163 0.235 0.214
0.163 0.235 0.786
0.337 0.735 0.286
0.337 0.735 0.714
0.367 0.409 0.000
0.372 0.421 0.500
0.400 0.114 0.000
0.600 0.886 0.000
0.628 0.579 0.500
0.633 0.591 0.000
0.663 0.265 0.286
0.663 0.265 0.714
0.837 0.765 0.214
0.837 0.765 0.786
0.867 0.091 0.500
0.872 0.079 0.000
0.900 0.386 0.500
```

Calculated density (g cm⁻³): 3.57
Space-group type: No. 58


2:
Mn2PO5 at its PBEsol-relaxed geometry. Source: the Alexandria database, functional SCAN.

The structure in POSCAR format:
```
Mn2PO5
1.0
4.997 0.000 0.000
-1.501 6.171 0.000
-1.461 -2.772 6.085
Mn P O
4 2 10
Direct
0.138 0.056 0.242
0.338 0.736 0.883
0.662 0.264 0.117
0.862 0.944 0.758
0.328 0.617 0.316
0.672 0.383 0.684
0.084 0.387 0.283
0.192 0.735 0.176
0.269 0.044 0.961
0.425 0.449 0.763
0.445 0.785 0.562
0.555 0.215 0.438
0.575 0.551 0.237
0.731 0.956 0.039
0.808 0.265 0.824
0.916 0.613 0.717
```

Calculated density (g cm⁻³): 3.91
Space-group type: No. 2


1 is favored, and the nearest alternative lies 32 meV per atom above it.